The following is a DFT calculation (PBE) of a relaxed structure of GdTePO6.

The calculated total energy comes out at -115.1 eV/cell.

Cell: 5.2233 5.2233 9.7072 Å, 90.00 90.00 120.00°
Closest atoms and distances in Å follow each position.
Fractional coordinates of all 18 atoms:
Te (0.6667, 0.3333, 0.2500)  6 O 1.94
Gd (0.0000, 0.0000, 0.0000)  6 O 2.31
O (0.0149, 0.3682, 0.6382)  1 Te 1.94, 1 P 2.05
O (0.3682, 0.0149, 0.1382)  1 Te 1.94, 1 P 2.05
O (0.9851, 0.3533, 0.1382)  1 Te 1.94, 1 P 2.05
P (0.3333, 0.6667, 0.2500)  6 O 2.05
O (0.6318, 0.6467, 0.6382)  1 Te 1.94, 1 P 2.05
O (0.3682, 0.3533, 0.3618)  1 Te 1.94, 1 P 2.05
O (0.0149, 0.6467, 0.8618)  1 Te 1.94, 1 P 2.05
O (0.9851, 0.6318, 0.3618)  1 Te 1.94, 1 P 2.05
O (0.6467, 0.6318, 0.1382)  1 Te 1.94, 1 P 2.05
Gd (0.0000, 0.0000, 0.5000)  6 O 2.31
O (0.6467, 0.0149, 0.3618)  1 Te 1.94, 1 P 2.05
Te (0.3333, 0.6667, 0.7500)  6 O 1.94
P (0.6667, 0.3333, 0.7500)  6 O 2.05
O (0.3533, 0.9851, 0.6382)  1 Te 1.94, 1 P 2.05
O (0.3533, 0.3682, 0.8618)  1 Te 1.94, 1 P 2.05
O (0.6318, 0.9851, 0.8618)  1 Te 1.94, 1 P 2.05